Entry 1:
# MnCdRu2 GGA-PBE relaxed
# DFT formation energy = 187 meV/atom
# Fermi-level density of states = 3.68 states/eV per cell
# calculated total energy = -27.89 eV per cell
# total magnetic moment = 1.8 μB/f.u.
data_MnCdRu2
_chemical_formula_sum 'Mn1 Cd1 Ru2'
_space_group_name_H-M_alt 'P 4/m m m'
_space_group_IT_number 123
_space_group_name_Hall '-P 4 2'
_cell_length_a 2.970
_cell_length_b 2.970
_cell_length_c 6.850
_cell_angle_alpha 90.00
_cell_angle_beta 90.00
_cell_angle_gamma 90.00
loop_
_atom_site_label
_atom_site_fract_x
_atom_site_fract_y
_atom_site_fract_z
Mn1 0.000 0.000 0.000
Cd1 0.000 0.000 0.500
Ru1 0.500 0.500 0.207

=====

Entry 2:
# LiScRe2 GGA-PBE relaxed
# DFT formation energy = 218 meV/atom
# Fermi-level density of states = 7.19 states/eV per cell
# calculated total energy = -64.54 eV per cell
# total magnetic moment = 0.0 μB/f.u.
# polymorph energy (0 for the lowest one) = 5.49 kcal/mol of atoms
data_LiScRe2
_chemical_formula_sum 'Li2 Sc2 Re4'
_space_group_name_H-M_alt 'C 1 m 1'
_space_group_IT_number 8
_cell_length_a 8.676
_cell_length_b 2.797
_cell_length_c 5.353
_cell_angle_alpha 90.00
_cell_angle_beta 94.47
_cell_angle_gamma 90.00
loop_
_space_group_symop_operation_xyz
'x,y,z'
'x,-y,z'
'x+1/2,y+1/2,z'
'x+1/2,-y+1/2,z'
loop_
_atom_site_label
_atom_site_fract_x
_atom_site_fract_y
_atom_site_fract_z
Li1 0.000 0.000 0.000
Sc1 0.259 0.500 0.242
Re1 0.008 0.500 0.551
Re2 0.256 0.000 0.740